1.
NpIrRh4S8: relaxed, PBE-GGA.

a = 7.0656 Å, b = 7.0656 Å, c = 7.0656 Å
α = 61.01°, β = 61.01°, γ = 61.01°
Sites, in units of the cell vectors:
Np1 0.0000 0.0000 0.0000
Ir1 0.3717 0.3717 0.3717
Rh1 0.5007 0.9995 0.9995
Rh2 0.6288 0.6288 0.6288
Rh3 0.9995 0.5007 0.9995
Rh4 0.9995 0.9995 0.5007
S1 0.2378 0.7414 0.7414
S2 0.2407 0.2407 0.2407
S3 0.2601 0.2601 0.7604
S4 0.2601 0.7604 0.2601
S5 0.7414 0.2378 0.7414
S6 0.7414 0.7414 0.2378
S7 0.7604 0.2601 0.2601
S8 0.7609 0.7609 0.7609

## Properties
energy relative to the elements, uncorrected	-509	meV/atom
space-group type	R3m

2.
Tb3Sm2HoS6: relaxed, PBE-GGA.

a = 8.8152 Å, b = 8.8152 Å, c = 7.9308 Å
α = 103.04°, β = 103.04°, γ = 25.80°
Sites, in units of the cell vectors:
Tb1 0.0000 0.0000 0.0000
Tb2 0.3315 0.3315 0.6672
Tb3 0.6685 0.6685 0.3328
Sm1 0.3325 0.3325 0.1649
Sm2 0.6675 0.6675 0.8351
Ho1 0.0000 0.0000 0.5000
S1 0.1646 0.1646 0.0876
S2 0.1648 0.1648 0.5770
S3 0.4978 0.4978 0.7457
S4 0.5022 0.5022 0.2543
S5 0.8352 0.8352 0.4230
S6 0.8354 0.8354 0.9124

## Properties
energy relative to the elements, uncorrected	-2008	meV/atom
space-group type	C2/m

3.
KC2: relaxed, PBE-GGA.

a = 9.8533 Å, b = 9.8533 Å, c = 2.6327 Å
α = 90.00°, β = 90.00°, γ = 163.44°
Sites, in units of the cell vectors:
K1 0.1190 0.8810 0.7500
K2 0.8810 0.1190 0.2500
C1 0.2506 0.7494 0.2500
C2 0.4904 0.5096 0.7500
C3 0.5096 0.4904 0.2500
C4 0.7494 0.2506 0.7500

## Properties
offset from the most stable computed form	1082	meV/atom
calculated formation energy	4.8	eV per formula unit
space-group type	Cmcm

4.
KReTc2: relaxed, PBE-GGA.

a = 4.8272 Å, b = 4.8272 Å, c = 6.8617 Å
α = 96.81°, β = 96.81°, γ = 34.09°
Sites, in units of the cell vectors:
K1 0.0000 0.0000 0.0000
Re1 0.5000 0.5000 0.5000
Tc1 0.2179 0.2179 0.6405
Tc2 0.7821 0.7821 0.3595

## Properties
offset from the most stable computed form	223	meV/atom
calculated formation energy	3.7	eV per formula unit
space-group type	C2/m

| no. | calculated total energy (eV/cell) |
| --- | --- |
| 1 | -91.35 |
| 2 | -76.77 |
| 3 | -29.57 |
| 4 | -30.54 |